DFT (GGA-PBEsol) results for a geometry-optimized LaTc2Os2 structure.

```
LaTc2Os2
1.0
-1.0979 -1.7131 3.8126
-1.2265 -3.6364 -1.9871
5.8249 0.8231 -0.4021
Os Tc La
2 2 1
Direct
0.3737 0.3737 0.7475 Os
0.6263 0.6263 0.2525 Os
0.2500 0.7500 0.5000 Tc
0.7500 0.2500 0.5000 Tc
0.0000 0.0000 0.0000 La
```

Total energy (eV/atom): -10.365
Formation enthalpy at 0 K (eV per atom): 0.097